The following is a DFT calculation (PBE) of a relaxed Nd2DyErSb4 crystal.

Computed properties:
energy relative to the elements, uncorrected: -110.7 kJ/mol of atoms
symmetry: P2/m, No. 10

```
data_Nd2DyErSb4
_symmetry_space_group_name_H-M 'P 1'
_symmetry_Int_Tables_number 1
_cell_length_a 7.697
_cell_length_b 4.451
_cell_length_c 7.705
_cell_angle_alpha 90.00
_cell_angle_beta 109.49
_cell_angle_gamma 90.00
loop_
_symmetry_equiv_pos_as_xyz
'x,y,z'
loop_
_atom_site_label
_atom_site_fract_x
_atom_site_fract_y
_atom_site_fract_z
Nd1 0.000 0.000 0.000
Nd2 0.000 0.500 0.500
Dy1 0.500 0.000 0.500
Er1 0.500 0.500 0.000
Sb1 0.260 0.500 0.252
Sb2 0.261 0.000 0.754
Sb3 0.739 0.000 0.246
Sb4 0.740 0.500 0.748
```

***

The following is a DFT calculation (PBE) of a relaxed Sb2TeRu2 crystal.

Computed properties:
energy relative to the elements, uncorrected: 10.2 kJ/mol of atoms
symmetry: P4/mbm, No. 127

```
data_Sb2TeRu2
_symmetry_space_group_name_H-M 'P 1'
_symmetry_Int_Tables_number 1
_cell_length_a 7.876
_cell_length_b 7.876
_cell_length_c 3.166
_cell_angle_alpha 90.00
_cell_angle_beta 90.00
_cell_angle_gamma 90.00
loop_
_symmetry_equiv_pos_as_xyz
'x,y,z'
loop_
_atom_site_label
_atom_site_fract_x
_atom_site_fract_y
_atom_site_fract_z
Sb1 0.148 0.352 0.000
Sb2 0.352 0.852 0.000
Sb3 0.648 0.148 0.000
Sb4 0.852 0.648 0.000
Te1 0.000 0.000 0.500
Te2 0.500 0.500 0.500
Ru1 0.141 0.641 0.500
Ru2 0.359 0.141 0.500
Ru3 0.641 0.859 0.500
Ru4 0.859 0.359 0.500
```

***

The following is a DFT calculation (PBE) of a relaxed ReSb3Br crystal.

Computed properties:
energy relative to the elements, uncorrected: 42.1 kJ/mol of atoms
symmetry: Pm-3m, No. 221
energy above the most stable polymorph in this dataset: 0 meV/atom

```
data_ReSb3Br
_symmetry_space_group_name_H-M 'P 1'
_symmetry_Int_Tables_number 1
_cell_length_a 5.216
_cell_length_b 5.216
_cell_length_c 5.216
_cell_angle_alpha 90.00
_cell_angle_beta 90.00
_cell_angle_gamma 90.00
loop_
_symmetry_equiv_pos_as_xyz
'x,y,z'
loop_
_atom_site_label
_atom_site_fract_x
_atom_site_fract_y
_atom_site_fract_z
Re1 0.000 0.000 0.000
Sb1 0.000 0.000 0.500
Sb2 0.000 0.500 0.000
Sb3 0.500 0.000 0.000
Br1 0.500 0.500 0.500
```

***

The following is a DFT calculation (PBE) of a relaxed ZrSc2Ga crystal.

Computed properties:
energy of formation: 12 meV/atom
symmetry: R-3m, No. 166

```
data_ZrSc2Ga
_symmetry_space_group_name_H-M 'P 1'
_symmetry_Int_Tables_number 1
_cell_length_a 10.659
_cell_length_b 10.659
_cell_length_c 10.659
_cell_angle_alpha 16.98
_cell_angle_beta 16.98
_cell_angle_gamma 16.98
loop_
_symmetry_equiv_pos_as_xyz
'x,y,z'
loop_
_atom_site_label
_atom_site_fract_x
_atom_site_fract_y
_atom_site_fract_z
Zr1 0.000 0.000 0.000
Sc1 0.097 0.097 0.097
Sc2 0.903 0.903 0.903
Ga1 0.500 0.500 0.500
```

***

The following is a DFT calculation (PBE) of a relaxed Zn2IrCl crystal.

Computed properties:
energy relative to the elements, uncorrected: 36.9 kJ/mol of atoms
symmetry: I4/mmm, No. 139
energy above the most stable polymorph in this dataset: 648 meV/atom

```
data_Zn2IrCl
_symmetry_space_group_name_H-M 'P 1'
_symmetry_Int_Tables_number 1
_cell_length_a 4.978
_cell_length_b 4.978
_cell_length_c 4.978
_cell_angle_alpha 134.72
_cell_angle_beta 134.72
_cell_angle_gamma 65.97
loop_
_symmetry_equiv_pos_as_xyz
'x,y,z'
loop_
_atom_site_label
_atom_site_fract_x
_atom_site_fract_y
_atom_site_fract_z
Zn1 0.250 0.750 0.500
Zn2 0.750 0.250 0.500
Ir1 0.000 0.000 0.000
Cl1 0.500 0.500 0.000
```

***

The following is a DFT calculation (PBE) of a relaxed SrIn2GaPd crystal.

Computed properties:
energy of formation: -306 meV/atom
symmetry: P4/mmm, No. 123

```
data_SrIn2GaPd
_symmetry_space_group_name_H-M 'P 1'
_symmetry_Int_Tables_number 1
_cell_length_a 5.254
_cell_length_b 5.254
_cell_length_c 4.918
_cell_angle_alpha 90.00
_cell_angle_beta 90.00
_cell_angle_gamma 90.00
loop_
_symmetry_equiv_pos_as_xyz
'x,y,z'
loop_
_atom_site_label
_atom_site_fract_x
_atom_site_fract_y
_atom_site_fract_z
Sr1 0.000 0.000 0.000
In1 0.000 0.500 0.500
In2 0.500 0.000 0.500
Ga1 0.500 0.500 0.000
Pd1 0.500 0.500 0.500
```

***

The following is a DFT calculation (PBE) of a relaxed La4ZnSe2S crystal.

Computed properties:
energy relative to the elements, uncorrected: -150.8 kJ/mol of atoms
symmetry: P2/m, No. 10

```
data_La4ZnSe2S
_symmetry_space_group_name_H-M 'P 1'
_symmetry_Int_Tables_number 1
_cell_length_a 7.473
_cell_length_b 4.244
_cell_length_c 7.521
_cell_angle_alpha 90.00
_cell_angle_beta 109.02
_cell_angle_gamma 90.00
loop_
_symmetry_equiv_pos_as_xyz
'x,y,z'
loop_
_atom_site_label
_atom_site_fract_x
_atom_site_fract_y
_atom_site_fract_z
La1 0.241 0.000 0.242
La2 0.245 0.500 0.752
La3 0.755 0.500 0.248
La4 0.759 0.000 0.758
Zn1 0.500 0.000 0.000
Se1 0.000 0.000 0.500
Se2 0.500 0.500 0.500
S1 0.000 0.500 0.000
```

***

The following is a DFT calculation (PBE) of a relaxed YTm2In crystal.

Computed properties:
energy of formation: -253 meV/atom
symmetry: Amm2, No. 38
energy above the most stable polymorph in this dataset: 9 meV/atom

```
data_YTm2In
_symmetry_space_group_name_H-M 'P 1'
_symmetry_Int_Tables_number 1
_cell_length_a 5.531
_cell_length_b 6.823
_cell_length_c 6.823
_cell_angle_alpha 60.22
_cell_angle_beta 90.00
_cell_angle_gamma 90.00
loop_
_symmetry_equiv_pos_as_xyz
'x,y,z'
loop_
_atom_site_label
_atom_site_fract_x
_atom_site_fract_y
_atom_site_fract_z
Y1 0.000 0.244 0.756
Y2 0.000 0.756 0.244
Tm1 0.000 0.755 0.755
Tm2 0.500 0.416 0.416
Tm3 0.500 0.417 0.927
Tm4 0.500 0.927 0.417
In1 0.000 0.253 0.253
In2 0.500 0.918 0.918
```